#a
An optimized crystal structure of Pm3Sn3Ir2. Source: Alexandria via LeMat-Bulk, functional PBE-GGA.

Lattice parameters (Å, degrees): 5.965 8.495 15.543 90.00 90.00 90.00
Atoms (fractional coordinates):
Pm  0.890  0.533  0.612
Pm  0.110  0.467  0.388
Pm  0.363  0.672  0.750
Pm  0.110  0.467  0.112
Pm  0.390  0.967  0.388
Pm  0.610  0.033  0.888
Pm  0.863  0.828  0.250
Pm  0.390  0.967  0.112
Pm  0.890  0.533  0.888
Pm  0.637  0.328  0.250
Pm  0.137  0.172  0.750
Pm  0.610  0.033  0.612
Sn  0.623  0.324  0.750
Sn  0.888  0.813  0.466
Sn  0.123  0.176  0.250
Sn  0.377  0.676  0.250
Sn  0.388  0.687  0.966
Sn  0.612  0.313  0.466
Sn  0.112  0.187  0.966
Sn  0.388  0.687  0.534
Sn  0.888  0.813  0.034
Sn  0.612  0.313  0.034
Sn  0.112  0.187  0.534
Sn  0.877  0.824  0.750
Ir  0.632  0.592  0.390
Ir  0.368  0.408  0.890
Ir  0.132  0.908  0.610
Ir  0.368  0.408  0.610
Ir  0.868  0.092  0.390
Ir  0.132  0.908  0.890
Ir  0.868  0.092  0.110
Ir  0.632  0.592  0.110

Results
* theoretical density: 9.9 g/cm3
* crystal system: orthorhombic

#b
An optimized crystal structure of Pm3Sn3Ir2. Source: Alexandria via LeMat-Bulk, functional PBE-GGA.

Lattice parameters (Å, degrees): 4.615 5.997 15.357 90.00 90.00 112.63
Atoms (fractional coordinates):
Pm  0.074  0.149  0.889
Pm  0.651  0.303  0.250
Pm  0.074  0.149  0.611
Pm  0.349  0.697  0.750
Pm  0.926  0.851  0.389
Pm  0.926  0.851  0.111
Ir  0.798  0.595  0.609
Ir  0.798  0.595  0.891
Ir  0.202  0.405  0.391
Ir  0.202  0.405  0.109
Sn  0.354  0.708  0.250
Sn  0.364  0.728  0.966
Sn  0.636  0.272  0.034
Sn  0.636  0.272  0.466
Sn  0.364  0.728  0.534
Sn  0.646  0.292  0.750

Results
* theoretical density: 10.0 g/cm3
* crystal system: orthorhombic

#b is favored, and the nearest alternative lies 32 meV/atom above it.

#a
An optimized crystal structure of Pm2Sn3Ir. Source: Alexandria via LeMat-Bulk, functional PBE-GGA.

Lattice parameters (Å, degrees): 4.726 6.066 6.270 73.74 67.86 67.07
Atoms (fractional coordinates):
Sn  0.876  0.603  0.645
Sn  0.160  0.753  0.927
Sn  0.809  0.259  0.123
Pm  0.429  0.827  0.315
Pm  0.553  0.190  0.705
Ir  0.174  0.368  0.284

Results
* theoretical density: 9.2 g/cm3
* crystal system: monoclinic

#b
An optimized crystal structure of Pm2Sn3Ir. Source: Alexandria via LeMat-Bulk, functional PBE-GGA.

Lattice parameters (Å, degrees): 4.069 4.816 8.016 90.00 90.00 90.00
Atoms (fractional coordinates):
Sn  0.500  0.500  0.645
Sn  0.500  0.000  0.831
Sn  0.500  0.000  0.182
Pm  0.000  0.000  0.489
Pm  0.000  0.500  0.036
Ir  0.500  0.500  0.317

Results
* theoretical density: 8.9 g/cm3
* crystal system: orthorhombic

#a is favored, and the nearest alternative lies 98 meV/atom above it.